1.
Density functional theory data (PBE-GGA) for a relaxed TaHg2 crystal.

* E_form: 873 meV per atom
* symmetry: No. 225
* DOS(E_F): 1.94 states/eV/cell

Unit cell a=4.6559 b=4.6559 c=4.6559 alpha=60.00 beta=60.00 gamma=60.00
Element x y z (fractional)
Ta1 0.0000 0.0000 0.0000
Hg1 0.2500 0.2500 0.2500
Hg2 0.7500 0.7500 0.7500



2.
Density functional theory data (PBE-GGA) for a relaxed NaSbAu crystal.

* calculated total energy: -78.86 eV/cell
* symmetry: No. 59
* DOS(E_F): 7.13 states/eV/cell

Unit cell a=4.7171 b=15.1962 c=8.2007 alpha=90.00 beta=90.00 gamma=90.00
Element x y z (fractional)
Na1 0.2500 0.0028 0.2054
Na2 0.2500 0.2500 0.3216
Na3 0.2500 0.4972 0.2054
Na4 0.2500 0.7500 0.3034
Na5 0.7500 0.2500 0.6966
Na6 0.7500 0.5028 0.7946
Na7 0.7500 0.7500 0.6784
Na8 0.7500 0.9972 0.7946
Sb1 0.2500 0.0972 0.5947
Sb2 0.2500 0.4028 0.5947
Sb3 0.2500 0.6537 0.9082
Sb4 0.2500 0.8463 0.9082
Sb5 0.7500 0.1537 0.0918
Sb6 0.7500 0.3463 0.0918
Sb7 0.7500 0.5972 0.4053
Sb8 0.7500 0.9028 0.4053
Au1 0.2500 0.1446 0.9165
Au2 0.2500 0.3554 0.9165
Au3 0.2500 0.5973 0.5841
Au4 0.2500 0.9027 0.5841
Au5 0.7500 0.0973 0.4159
Au6 0.7500 0.4027 0.4159
Au7 0.7500 0.6446 0.0835
Au8 0.7500 0.8554 0.0835



3.
Density functional theory data (PBE-GGA) for a relaxed CdAsH2O4 crystal.

* calculated total energy: -38.82 eV/cell
* symmetry: No. 23
* DOS(E_F): 2.07 states/eV/cell

Unit cell a=5.0218 b=5.0218 c=5.0218 alpha=125.92 beta=103.68 gamma=100.19
Element x y z (fractional)
Cd1 0.0000 0.0000 0.0000
As1 0.5000 0.0000 0.5000
H1 0.3064 0.5000 0.8064
H2 0.6936 0.5000 0.1936
O1 0.1993 0.1718 0.5660
O2 0.3942 0.8282 0.0275
O3 0.6058 0.6333 0.4340
O4 0.8007 0.3667 0.9725



4.
Density functional theory data (PBE-GGA) for a relaxed KAl3Re crystal.

* excess energy over the best structure of this formula in the dataset: 0 meV/atom
* E_form: 43 meV per atom
* symmetry: No. 221
* DOS(E_F): 2.53 states/eV/cell

Unit cell a=4.9128 b=4.9128 c=4.9128 alpha=90.00 beta=90.00 gamma=90.00
Element x y z (fractional)
K1 0.0000 0.0000 0.0000
Al1 0.0000 0.5000 0.5000
Al2 0.5000 0.0000 0.5000
Al3 0.5000 0.5000 0.0000
Re1 0.5000 0.5000 0.5000



5.
Density functional theory data (PBE-GGA) for a relaxed K2BaH6 crystal.

* calculated total energy: -20.24 eV/cell
* symmetry: No. 225
* DOS(E_F): 2.61 states/eV/cell

Unit cell a=6.1138 b=6.1138 c=6.1138 alpha=60.00 beta=60.00 gamma=60.00
Element x y z (fractional)
K1 0.2500 0.2500 0.2500
K2 0.7500 0.7500 0.7500
Ba1 0.0000 0.0000 0.0000
H1 0.2918 0.2918 0.7082
H2 0.2918 0.7082 0.2918
H3 0.2918 0.7082 0.7082
H4 0.7082 0.2918 0.2918
H5 0.7082 0.2918 0.7082
H6 0.7082 0.7082 0.2918



6.
Density functional theory data (PBE-GGA) for a relaxed Nd3DySe4 crystal.

* excess energy over the best structure of this formula in the dataset: 0 meV/atom
* symmetry: No. 13
* DOS(E_F): 7.52 states/eV/cell

Unit cell a=7.3181 b=8.3108 c=7.2605 alpha=90.00 beta=109.23 gamma=90.00
Element x y z (fractional)
Nd1 0.0000 0.1227 0.2500
Nd2 0.0000 0.3736 0.7500
Nd3 0.0000 0.6264 0.2500
Nd4 0.0000 0.8773 0.7500
Nd5 0.5000 0.1235 0.7500
Nd6 0.5000 0.8765 0.2500
Dy1 0.5000 0.3736 0.2500
Dy2 0.5000 0.6264 0.7500
Se1 0.2551 0.1306 0.0054
Se2 0.2551 0.8694 0.5054
Se3 0.2597 0.3800 0.4996
Se4 0.2597 0.6200 0.9996
Se5 0.7403 0.3800 0.0004
Se6 0.7403 0.6200 0.5004
Se7 0.7449 0.1306 0.4946
Se8 0.7449 0.8694 0.9946



7.
Density functional theory data (PBE-GGA) for a relaxed Ac2Al4Cu3Ag crystal.

* E_form: -326 meV per atom
* symmetry: No. 115
* DOS(E_F): 6.72 states/eV/cell

Unit cell a=4.4472 b=4.4472 c=10.4734 alpha=90.00 beta=90.00 gamma=90.00
Element x y z (fractional)
Ac1 0.0000 0.5000 0.2496
Ac2 0.5000 0.0000 0.7504
Al1 0.0000 0.0000 0.0000
Al2 0.0000 0.5000 0.6319
Al3 0.5000 0.0000 0.3681
Al4 0.5000 0.5000 0.0000
Cu1 0.0000 0.5000 0.8753
Cu2 0.5000 0.0000 0.1247
Cu3 0.5000 0.5000 0.5000
Ag1 0.0000 0.0000 0.5000



8.
Density functional theory data (PBE-GGA) for a relaxed BaIrRu crystal.

* excess energy over the best structure of this formula in the dataset: 1677 meV/atom
* E_form: 1830 meV per atom
* symmetry: No. 216
* DOS(E_F): 5.39 states/eV/cell

Unit cell a=4.7393 b=4.7393 c=4.7393 alpha=60.00 beta=60.00 gamma=60.00
Element x y z (fractional)
Ba1 0.0000 0.0000 0.0000
Ir1 0.7500 0.7500 0.7500
Ru1 0.2500 0.2500 0.2500



9.
Density functional theory data (PBE-GGA) for a relaxed LiSmTl2O4 crystal.

* calculated total energy: -87.13 eV/cell
* symmetry: No. 63
* DOS(E_F): 3.44 states/eV/cell

Unit cell a=6.2140 b=6.2140 c=11.8088 alpha=90.00 beta=90.00 gamma=147.94
Element x y z (fractional)
Li1 0.2009 0.7991 0.7500
Li2 0.7991 0.2009 0.2500
Sm1 0.0732 0.9268 0.2500
Sm2 0.9268 0.0732 0.7500
Tl1 0.3672 0.6328 0.0421
Tl2 0.3672 0.6328 0.4579
Tl3 0.6328 0.3672 0.5421
Tl4 0.6328 0.3672 0.9579
O1 0.0000 0.0000 0.0000
O2 0.0000 0.0000 0.5000
O3 0.3339 0.6661 0.6480
O4 0.3339 0.6661 0.8520
O5 0.4108 0.5892 0.2500
O6 0.5892 0.4108 0.7500
O7 0.6661 0.3339 0.1480
O8 0.6661 0.3339 0.3520



10.
Density functional theory data (PBE-GGA) for a relaxed AcMnAgSb crystal.

* calculated total energy: -20.13 eV/cell
* symmetry: No. 216
* DOS(E_F): 4.40 states/eV/cell

Unit cell a=5.1803 b=5.1803 c=5.1803 alpha=60.00 beta=60.00 gamma=60.00
Element x y z (fractional)
Ac1 0.0000 0.0000 0.0000
Mn1 0.2500 0.2500 0.2500
Ag1 0.7500 0.7500 0.7500
Sb1 0.5000 0.5000 0.5000



11.
Density functional theory data (PBE-GGA) for a relaxed La5Ag2Ru2 crystal.

* excess energy over the best structure of this formula in the dataset: 0 meV/atom
* E_form: -276 meV per atom
* symmetry: No. 64
* DOS(E_F): 10.90 states/eV/cell

Unit cell a=8.8628 b=8.8628 c=7.9112 alpha=90.00 beta=90.00 gamma=53.43
Element x y z (fractional)
La1 0.0000 0.0000 0.0000
La2 0.0497 0.7081 0.6684
La3 0.2081 0.5497 0.1684
La4 0.2919 0.9503 0.6684
La5 0.4503 0.7919 0.1684
La6 0.5000 0.5000 0.5000
La7 0.5497 0.2081 0.8316
La8 0.7081 0.0497 0.3316
La9 0.7919 0.4503 0.8316
La10 0.9503 0.2919 0.3316
Ag1 0.2136 0.2136 0.0000
Ag2 0.2864 0.2864 0.5000
Ag3 0.7136 0.7136 0.5000
Ag4 0.7864 0.7864 0.0000
Ru1 0.1414 0.8586 0.3589
Ru2 0.3586 0.6414 0.8589
Ru3 0.6414 0.3586 0.1411
Ru4 0.8586 0.1414 0.6411



12.
Density functional theory data (PBE-GGA) for a relaxed Pr2Tc2O7 crystal.

* excess energy over the best structure of this formula in the dataset: 0 meV/atom
* symmetry: No. 227
* DOS(E_F): 3.44 states/eV/cell

Unit cell a=7.4857 b=7.4857 c=7.4857 alpha=60.00 beta=60.00 gamma=60.00
Element x y z (fractional)
Pr1 0.0000 0.0000 0.0000
Pr2 0.0000 0.0000 0.5000
Pr3 0.0000 0.5000 0.0000
Pr4 0.5000 0.0000 0.0000
Tc1 0.0000 0.5000 0.5000
Tc2 0.5000 0.0000 0.5000
Tc3 0.5000 0.5000 0.0000
Tc4 0.5000 0.5000 0.5000
O1 0.1250 0.1250 0.1250
O2 0.1690 0.1690 0.5810
O3 0.1690 0.5810 0.1690
O4 0.1690 0.5810 0.5810
O5 0.4190 0.4190 0.8310
O6 0.4190 0.8310 0.4190
O7 0.4190 0.8310 0.8310
O8 0.5810 0.1690 0.1690
O9 0.5810 0.1690 0.5810
O10 0.5810 0.5810 0.1690
O11 0.8310 0.4190 0.4190
O12 0.8310 0.4190 0.8310
O13 0.8310 0.8310 0.4190
O14 0.8750 0.8750 0.8750



13.
Density functional theory data (PBE-GGA) for a relaxed Tl2ZnCdRh crystal.

* E_form: 523 meV per atom
* symmetry: No. 123
* DOS(E_F): 3.02 states/eV/cell

Unit cell a=5.2734 b=5.2734 c=4.7357 alpha=90.00 beta=90.00 gamma=90.00
Element x y z (fractional)
Tl1 0.0000 0.5000 0.0000
Tl2 0.5000 0.0000 0.0000
Zn1 0.0000 0.0000 0.0000
Cd1 0.5000 0.5000 0.5000
Rh1 0.0000 0.0000 0.5000



14.
Density functional theory data (PBE-GGA) for a relaxed TcSn2Mo crystal.

* excess energy over the best structure of this formula in the dataset: 175 meV/atom
* E_form: 167 meV per atom
* symmetry: No. 26
* DOS(E_F): 6.14 states/eV/cell

Unit cell a=4.4219 b=5.5565 c=6.2719 alpha=90.00 beta=90.00 gamma=90.00
Element x y z (fractional)
Tc1 0.0000 0.1288 0.0000
Tc2 0.0000 0.8712 0.5000
Sn1 0.0000 0.3629 0.6206
Sn2 0.0000 0.6371 0.1206
Sn3 0.5000 0.1292 0.3257
Sn4 0.5000 0.8708 0.8257
Mo1 0.5000 0.3765 0.9449
Mo2 0.5000 0.6235 0.4449



15.
Density functional theory data (PBE-GGA) for a relaxed CePrScSn crystal.

* E_form: -192 meV per atom
* symmetry: No. 216
* DOS(E_F): 7.45 states/eV/cell

Unit cell a=5.3404 b=5.3404 c=5.3404 alpha=60.00 beta=60.00 gamma=60.00
Element x y z (fractional)
Ce1 0.0000 0.0000 0.0000
Pr1 0.7500 0.7500 0.7500
Sc1 0.2500 0.2500 0.2500
Sn1 0.5000 0.5000 0.5000



16.
Density functional theory data (PBE-GGA) for a relaxed AcEuPd2 crystal.

* excess energy over the best structure of this formula in the dataset: 0 meV/atom
* E_form: -708 meV per atom
* symmetry: No. 225
* DOS(E_F): 9.43 states/eV/cell

Unit cell a=5.2601 b=5.2601 c=5.2601 alpha=60.00 beta=60.00 gamma=60.00
Element x y z (fractional)
Ac1 0.0000 0.0000 0.0000
Eu1 0.5000 0.5000 0.5000
Pd1 0.2500 0.2500 0.2500
Pd2 0.7500 0.7500 0.7500



17.
Density functional theory data (PBE-GGA) for a relaxed UPd6Au2 crystal.

* excess energy over the best structure of this formula in the dataset: 28 meV/atom
* E_form: -139 meV per atom
* symmetry: No. 38
* DOS(E_F): 7.79 states/eV/cell

Unit cell a=4.6020 b=7.2503 c=7.2503 alpha=136.88 beta=90.00 gamma=90.00
Element x y z (fractional)
U1 0.0000 0.0000 0.0000
Pd1 0.0000 0.1521 0.7591
Pd2 0.0000 0.5229 0.5229
Pd3 0.0000 0.7591 0.1521
Pd4 0.5000 0.2669 0.2669
Pd5 0.5000 0.6483 0.8484
Pd6 0.5000 0.8484 0.6483
Au1 0.5000 0.0651 0.4618
Au2 0.5000 0.4618 0.0651



18.
Density functional theory data (PBE-GGA) for a relaxed LaTm2UO8 crystal.

* calculated total energy: -104.32 eV/cell
* symmetry: No. 47
* DOS(E_F): 2.48 states/eV/cell

Unit cell a=3.8913 b=5.2983 c=7.6672 alpha=90.00 beta=90.00 gamma=90.00
Element x y z (fractional)
La1 0.0000 0.0000 0.0000
Tm1 0.5000 0.5000 0.2648
Tm2 0.5000 0.5000 0.7352
U1 0.0000 0.0000 0.5000
O1 0.0000 0.2467 0.2784
O2 0.0000 0.2467 0.7216
O3 0.0000 0.7533 0.2784
O4 0.0000 0.7533 0.7216
O5 0.5000 0.2354 0.5000
O6 0.5000 0.2817 0.0000
O7 0.5000 0.7183 0.0000
O8 0.5000 0.7646 0.5000



19.
Density functional theory data (PBE-GGA) for a relaxed SnHIr2 crystal.

* excess energy over the best structure of this formula in the dataset: 0 meV/atom
* symmetry: No. 122
* DOS(E_F): 8.91 states/eV/cell

Unit cell a=5.5524 b=5.5524 c=5.5524 alpha=122.47 beta=122.47 gamma=85.77
Element x y z (fractional)
Sn1 0.0000 0.0000 0.0000
Sn2 0.7500 0.2500 0.5000
H1 0.2500 0.7500 0.5000
H2 0.5000 0.5000 0.0000
Ir1 0.2754 0.6250 0.1504
Ir2 0.3750 0.5254 0.6504
Ir3 0.4746 0.1250 0.8496
Ir4 0.8750 0.7246 0.3496



20.
Density functional theory data (PBE-GGA) for a relaxed BaSr2AgW crystal.

* E_form: 2179 meV per atom
* symmetry: No. 123
* DOS(E_F): 6.19 states/eV/cell

Unit cell a=6.1667 b=6.1667 c=5.3701 alpha=90.00 beta=90.00 gamma=90.00
Element x y z (fractional)
Ba1 0.0000 0.0000 0.0000
Sr1 0.0000 0.5000 0.0000
Sr2 0.5000 0.0000 0.0000
Ag1 0.0000 0.0000 0.5000
W1 0.5000 0.5000 0.5000



21.
Density functional theory data (PBE-GGA) for a relaxed RbLiInSb2 crystal.

* calculated total energy: -15.65 eV/cell
* symmetry: No. 119
* DOS(E_F): 2.87 states/eV/cell

Unit cell a=7.4618 b=7.4618 c=7.4618 alpha=141.95 beta=141.95 gamma=54.91
Element x y z (fractional)
Rb1 0.0000 0.0000 0.0000
Li1 0.2500 0.7500 0.5000
In1 0.7500 0.2500 0.5000
Sb1 0.3777 0.3777 0.0000
Sb2 0.6223 0.6223 0.0000



22.
Density functional theory data (PBE-GGA) for a relaxed TaMo crystal.

* E_form: -81 meV per atom
* symmetry: No. 35
* DOS(E_F): 6.30 states/eV/cell

Unit cell a=2.8319 b=2.8319 c=13.5210 alpha=90.00 beta=90.00 gamma=110.31
Element x y z (fractional)
Ta1 0.0000 0.0000 0.0000
Ta2 0.0000 0.0000 0.3318
Ta3 0.5000 0.5000 0.8237
Mo1 0.0000 0.0000 0.6571
Mo2 0.5000 0.5000 0.1654
Mo3 0.5000 0.5000 0.4984



23.
Density functional theory data (PBE-GGA) for a relaxed La2ZnTc crystal.

* E_form: -40 meV per atom
* symmetry: No. 10
* DOS(E_F): 3.20 states/eV/cell

Unit cell a=3.5943 b=3.5961 c=7.7334 alpha=90.00 beta=92.61 gamma=90.00
Element x y z (fractional)
La1 0.0230 0.0000 0.2742
La2 0.9770 0.0000 0.7258
Zn1 0.5000 0.5000 0.0000
Tc1 0.5000 0.5000 0.5000



Short version: magnetization = 0.00; 0.00; 0.00; 0.00; 0.85; 0.00; 0.00; 2.37; 0.00; 3.57; 0.00; 6.01; 0.00; 0.00; 0.58; 7.15; 1.29; 0.91; 0.00; 0.51; 0.00; 0.00; 0.00 μB/f.u., in the order given.